# 1
# GGA-PBE La2TbPm2Dy2, relaxed
data_La2TbPm2Dy2
_chemical_formula_sum 'La6 Tb3 Pm6 Dy6'
_cell_length_a 5.7825
_cell_length_b 5.7825
_cell_length_c 24.8415
_cell_angle_alpha 90.00
_cell_angle_beta 90.00
_cell_angle_gamma 120.00
_symmetry_space_group_name_H-M 'R -3 m'
_symmetry_Int_Tables_number 166
_symmetry_space_group_name_Hall '-R 3 2"'
loop_
_atom_site_label
_atom_site_type_symbol
_atom_site_fract_x
_atom_site_fract_y
_atom_site_fract_z
_atom_site_occupancy
La1 La 0.0000 0.0000 0.1369 1
Tb1 Tb 0.0000 0.0000 0.0000 1
Pm1 Pm 0.0000 0.0000 0.2845 1
Dy1 Dy 0.0000 0.0000 0.4266 1
# **Calculated formation energy**: 0.9 eV/f.u.

***

# 2
# GGA-PBE LaTb2PmDy4, relaxed
data_LaTb2PmDy4
_chemical_formula_sum 'La2 Tb4 Pm2 Dy8'
_cell_length_a 7.196
_cell_length_b 7.200
_cell_length_c 11.581
_cell_angle_alpha 90.00
_cell_angle_beta 89.99
_cell_angle_gamma 60.08
_symmetry_space_group_name_H-M 'P -1'
_symmetry_Int_Tables_number 2
_symmetry_space_group_name_Hall '-P 1'
loop_
_atom_site_label
_atom_site_type_symbol
_atom_site_fract_x
_atom_site_fract_y
_atom_site_fract_z
_atom_site_occupancy
La1 La 0.000 0.000 0.000 1
La2 La 0.500 0.500 0.000 1
Tb1 Tb 0.000 0.000 0.500 1
Tb2 Tb 0.000 0.500 0.500 1
Tb3 Tb 0.500 0.000 0.000 1
Tb4 Tb 0.500 0.000 0.500 1
Pm1 Pm 0.000 0.500 0.000 1
Pm2 Pm 0.500 0.500 0.500 1
Dy1 Dy 0.166 0.167 0.748 1
Dy2 Dy 0.167 0.667 0.748 1
Dy3 Dy 0.333 0.333 0.252 1
Dy4 Dy 0.333 0.833 0.252 1
# **Calculated formation energy**: 0.0 eV/f.u.

***

# 3
# GGA-PBE LaTb3Pm6Dy2, relaxed
data_LaTb3Pm6Dy2
_chemical_formula_sum 'La2 Tb6 Pm12 Dy4'
_cell_length_a 6.276
_cell_length_b 10.868
_cell_length_c 11.988
_cell_angle_alpha 90.00
_cell_angle_beta 100.06
_cell_angle_gamma 90.00
_symmetry_space_group_name_H-M 'C 1 2/m 1'
_symmetry_Int_Tables_number 12
_symmetry_space_group_name_Hall '-C 2y'
loop_
_atom_site_label
_atom_site_type_symbol
_atom_site_fract_x
_atom_site_fract_y
_atom_site_fract_z
_atom_site_occupancy
La1 La 0.000 0.000 0.000 1
Tb1 Tb 0.000 0.167 0.500 1
Tb2 Tb 0.000 0.500 0.500 1
Pm1 Pm 0.249 0.333 0.748 1
Pm2 Pm 0.250 0.000 0.748 1
Dy1 Dy 0.000 0.334 0.000 1
# **Calculated formation energy**: 0.2 eV/f.u.

***

# 4
# GGA-PBE LaTb2PmDy, relaxed
data_LaTb2PmDy
_chemical_formula_sum 'La1 Tb2 Pm1 Dy1'
_cell_length_a 3.606
_cell_length_b 5.638
_cell_length_c 8.693
_cell_angle_alpha 90.00
_cell_angle_beta 90.00
_cell_angle_gamma 90.00
_symmetry_space_group_name_H-M 'P m m m'
_symmetry_Int_Tables_number 47
_symmetry_space_group_name_Hall '-P 2 2'
loop_
_atom_site_label
_atom_site_type_symbol
_atom_site_fract_x
_atom_site_fract_y
_atom_site_fract_z
_atom_site_occupancy
La1 La 0.000 0.000 0.000 1
Tb1 Tb 0.000 0.500 0.322 1
Pm1 Pm 0.500 0.500 0.000 1
Dy1 Dy 0.500 0.000 0.500 1
# **Calculated formation energy**: 1.4 eV/f.u.

***

# 5
# GGA-PBE LaTb2Pm2Dy, relaxed
data_LaTb2Pm2Dy
_chemical_formula_sum 'La2 Tb4 Pm4 Dy2'
_cell_length_a 7.059
_cell_length_b 9.944
_cell_length_c 5.701
_cell_angle_alpha 90.00
_cell_angle_beta 90.00
_cell_angle_gamma 90.00
_symmetry_space_group_name_H-M 'P n n m'
_symmetry_Int_Tables_number 58
_symmetry_space_group_name_Hall '-P 2 2n'
loop_
_atom_site_label
_atom_site_type_symbol
_atom_site_fract_x
_atom_site_fract_y
_atom_site_fract_z
_atom_site_occupancy
La1 La 0.000 0.000 0.000 1
Tb1 Tb 0.249 0.333 0.000 1
Pm1 Pm 0.248 0.667 0.000 1
Dy1 Dy 0.000 0.500 0.500 1
# **Calculated formation energy**: 0.3 eV/f.u.

***

# 6
# GGA-PBE LaTb2Pm6Dy3, relaxed
data_LaTb2Pm6Dy3
_chemical_formula_sum 'La2 Tb4 Pm12 Dy6'
_cell_length_a 6.274
_cell_length_b 10.866
_cell_length_c 11.974
_cell_angle_alpha 90.00
_cell_angle_beta 100.06
_cell_angle_gamma 90.00
_symmetry_space_group_name_H-M 'C 1 2/m 1'
_symmetry_Int_Tables_number 12
_symmetry_space_group_name_Hall '-C 2y'
loop_
_atom_site_label
_atom_site_type_symbol
_atom_site_fract_x
_atom_site_fract_y
_atom_site_fract_z
_atom_site_occupancy
La1 La 0.000 0.000 0.000 1
Tb1 Tb 0.000 0.334 0.000 1
Pm1 Pm 0.248 0.333 0.747 1
Pm2 Pm 0.250 0.000 0.747 1
Dy1 Dy 0.000 0.167 0.500 1
Dy2 Dy 0.000 0.500 0.500 1
# **Calculated formation energy**: 0.2 eV/f.u.

***

> Number 2 is which compound?

LaTb2PmDy4

***

> What is the calculated formation energy in the first record?

0.9 eV/f.u.

***

> Look up the calculated formation energy of the second one.

0.0 eV/f.u.

***

> Which formula does entry 4 have?

LaTb2PmDy